No. 1
Here is BaZn2AgF8 after structural relaxation from Alexandria. Energies are from PBE-GGA.

abc: 6.0133 6.0133 7.5846
angles: 90.00 90.00 120.00
Sites, in units of the cell vectors:
Ba 0.0000 0.0000 0.0000
Zn 0.3333 0.6667 0.2260
Zn 0.6667 0.3333 0.7740
Ag 0.0000 0.0000 0.5000
F 0.1553 0.3106 0.2917
F 0.1553 0.8447 0.2917
F 0.3106 0.1553 0.7083
F 0.3333 0.6667 0.9760
F 0.6667 0.3333 0.0240
F 0.6894 0.8447 0.2917
F 0.8447 0.1553 0.7083
F 0.8447 0.6894 0.7083

Computed properties:
As for the uncorrected formation energy: -27.4 eV/f.u.

No. 2
Here is ZrTlZn4 after structural relaxation from Alexandria. Energies are from PBE-GGA.

abc: 5.3572 5.3572 5.3572
angles: 60.00 60.00 60.00
Sites, in units of the cell vectors:
Zr 0.0000 0.0000 0.0000
Tl 0.7500 0.7500 0.7500
Zn 0.3730 0.3730 0.3730
Zn 0.3730 0.3730 0.8810
Zn 0.3730 0.8810 0.3730
Zn 0.8810 0.3730 0.3730

Computed properties:
As for the total energy: -2.6005 eV per atom.

| no. | N(E_F) (states/eV per atom) |
| --- | --- |
| 1 | 0.552 |
| 2 | 0.739 |